Here is crystalline Ac3TlP2Rh9 at its relaxed geometry from Alexandria via LeMat-Bulk. Energies are from PBE.

Results
Calculated volume (Å³/atom): 20.64
Formation enthalpy at 0 K (eV per atom): -0.487
Energy (eV for the cell shown): -99.0
Theoretical density (g cm⁻³): 10.047
Total moment (μB/f.u.): 0.0
Density of states at the Fermi level (states/eV/f.u.): 7.93

Cell: 6.9671 6.9671 7.3659 Å, 90.00 90.00 120.00°
Space group P-3m1 (No. 164)
Symmetry-distinct sites (fractional):
Ac 0.0000 0.0000 0.0000
Ac 0.3333 0.6667 0.6684
Tl 0.0000 0.0000 0.5000
P 0.3333 0.6667 0.1360
Rh 0.0000 0.5000 0.0000
Rh 0.1910 0.3820 0.3283

Here is crystalline Pr2HoSc at its relaxed geometry from Alexandria via LeMat-Bulk. Energies are from PBE.

Results
Calculated volume (Å³/atom): 31.77
Formation enthalpy at 0 K (eV per atom): 0.063
Energy (eV for the cell shown): -60.7
Energy relative to the lowest polymorph listed for this composition (meV per atom): 23.0
Theoretical density (g cm⁻³): 6.424
Total moment (μB/f.u.): 0.0
Density of states at the Fermi level (states/eV/f.u.): 5.82

Cell: 3.5776 3.5776 34.3969 Å, 90.00 90.00 120.00°
Space group R3m (No. 160, hexagonal axes)
Symmetry-distinct sites (fractional):
Pr 0.0000 0.0000 0.0000
Pr 0.0000 0.0000 0.1718
Ho 0.0000 0.0000 0.4185
Sc 0.0000 0.0000 0.5865

Here is crystalline TePdCI2 at its relaxed geometry from Alexandria via LeMat-Bulk. Energies are from PBE.

Results
Calculated volume (Å³/atom): 31.93
Formation energy (no corrections) (eV per atom): 1.565
Energy (eV for the cell shown): -12.8
Energy relative to the lowest polymorph listed for this composition (meV per atom): 274.9
Theoretical density (g cm⁻³): 5.199
Total moment (μB/f.u.): 0.9
Density of states at the Fermi level (states/eV/f.u.): 6.23

Cell: 5.511 5.511 5.257 Å, 90.00 90.00 90.00°
Space group P4/mmm (No. 123)
Symmetry-distinct sites (fractional):
Te 0.000 0.000 0.000
Pd 0.000 0.000 0.500
C 0.500 0.500 0.000
I 0.000 0.500 0.500

Here is crystalline Pm2Pr3Hg2 at its relaxed geometry from Alexandria via LeMat-Bulk. Energies are from PBE.

Results
Calculated volume (Å³/atom): 32.15
Formation enthalpy at 0 K (eV per atom): -0.195
Energy (eV for the cell shown): -51.6
Energy relative to the lowest polymorph listed for this composition (meV per atom): 31.7
Theoretical density (g cm⁻³): 8.219
Total moment (μB/f.u.): 1.0
Density of states at the Fermi level (states/eV/f.u.): 8.22

Cell: 3.751 32.251 3.720 Å, 90.00 90.00 90.00°
Space group Cmmm (No. 65)
Symmetry-distinct sites (fractional):
Pm 0.000 0.203 0.000
Pr 0.000 0.080 0.000
Pr 0.000 0.500 0.500
Hg 0.000 0.357 0.500

- Among the records above, which one has the highest total moment?
  Pm2Pr3Hg2

- Which of these has the lowest theoretical density?
  TePdCI2

- What is the formula in the first record?
  Ac3TlP2Rh9